Crystalline ZrTaReNi at its relaxed geometry. Source: the Alexandria database, functional PBE.

The value obtained for the formation energy is -0.249 eV/atom. Its total energy is -9.91 eV/atom.

The structure belongs to space group F-43m (No. 216); the cell edges are 6.420, 6.420 and 6.420 Å and the angles 90.00°, 90.00° and 90.00°. The distinct sites, in fractional coordinates, are Zr at (0.000, 0.000, 0.000), Ta at (0.000, 0.000, 0.500), Re at (0.250, 0.250, 0.250) and Ni at (0.250, 0.250, 0.750).



Crystalline Ti2RhNF at its relaxed geometry. Source: the Alexandria database, functional PBE.

Its total energy is -6.23 eV/atom.

The structure belongs to space group P4/mmm (No. 123); the cell edges are 4.047, 4.047 and 4.120 Å and the angles 90.00°, 90.00° and 90.00°. The distinct sites, in fractional coordinates, are Ti at (0.000, 0.500, 0.000), Rh at (0.000, 0.000, 0.500), N at (0.500, 0.500, 0.500) and F at (0.000, 0.000, 0.000).



Crystalline YCuBr2 at its relaxed geometry. Source: the Alexandria database, functional PBE.

Its total energy is -3.81 eV/atom.

The structure belongs to space group I-42d (No. 122); the cell edges are 6.479, 6.479 and 11.095 Å and the angles 90.00°, 90.00° and 90.00°. The distinct sites, in fractional coordinates, are Y at (0.000, 0.000, 0.000), Cu at (0.000, 0.000, 0.500) and Br at (0.191, 0.250, 0.625).



Crystalline LiFeSb2 at its relaxed geometry. Source: the Alexandria database, functional PBE.

Its total energy is -4.58 eV/atom.

The structure belongs to space group P4mm (No. 99); the cell edges are 3.765, 3.765 and 5.445 Å and the angles 90.00°, 90.00° and 90.00°. The distinct sites, in fractional coordinates, are Li at (0.000, 0.000, 0.000), Fe at (0.500, 0.500, 0.685), Sb at (0.000, 0.000, 0.519) and Sb at (0.500, 0.500, 0.170).



Crystalline RbBaAu2 at its relaxed geometry. Source: the Alexandria database, functional PBE.

The value obtained for the formation energy is -0.442 eV/atom. Its total energy is -2.80 eV/atom.

The structure belongs to space group R3m (No. 160, hexagonal axes); the cell edges are 4.7028, 4.7028 and 25.6953 Å and the angles 90.00°, 90.00° and 120.00°. The distinct sites, in fractional coordinates, are Rb at (0.0000, 0.0000, 0.0000), Ba at (0.0000, 0.0000, 0.8292), Au at (0.0000, 0.0000, 0.2385) and Au at (0.0000, 0.0000, 0.4219).



Crystalline RbTaV3 at its relaxed geometry. Source: the Alexandria database, functional PBE.

The value obtained for the formation energy is 2.602 eV/atom. Its total energy is -5.43 eV/atom.

The structure belongs to space group Pm-3m (No. 221); the cell edges are 4.480, 4.480 and 4.480 Å and the angles 90.00°, 90.00° and 90.00°. The distinct sites, in fractional coordinates, are Rb at (0.000, 0.000, 0.000), Ta at (0.500, 0.500, 0.500) and V at (0.000, 0.000, 0.500).



Crystalline HfIn2O5 at its relaxed geometry. Source: the Alexandria database, functional PBE.

Its total energy is -7.26 eV/atom.

The structure belongs to space group Pnma (No. 62); the cell edges are 7.444, 3.674 and 15.493 Å and the angles 90.00°, 90.00° and 90.00°. The distinct sites, in fractional coordinates, are Hf at (0.110, 0.250, 0.077), In at (0.096, 0.250, 0.414), In at (0.174, 0.250, 0.759), O at (0.065, 0.750, 0.322), O at (0.086, 0.750, 0.036), O at (0.131, 0.750, 0.851), O at (0.145, 0.750, 0.500) and O at (0.242, 0.750, 0.683).



Crystalline BaMg2Al2 at its relaxed geometry. Source: the Alexandria database, functional PBE.

The value obtained for the formation energy is 0.031 eV/atom. Its total energy is -2.49 eV/atom.

The structure belongs to space group P4/mbm (No. 127); the cell edges are 8.868, 8.868 and 3.201 Å and the angles 90.00°, 90.00° and 90.00°. The distinct sites, in fractional coordinates, are Ba at (0.000, 0.000, 0.000), Mg at (0.160, 0.340, 0.500) and Al at (0.126, 0.626, 0.000).



Crystalline K2CuRu at its relaxed geometry. Source: the Alexandria database, functional PBE.

The value obtained for the formation energy is 1.082 eV/atom. Its total energy is -2.81 eV/atom.

The structure belongs to space group Cmmm (No. 65); the cell edges are 6.041, 10.617 and 2.785 Å and the angles 90.00°, 90.00° and 90.00°. The distinct sites, in fractional coordinates, are K at (0.250, 0.250, 0.000), Cu at (0.000, 0.000, 0.500) and Ru at (0.000, 0.500, 0.500).



Crystalline Ta5Mn4W at its relaxed geometry. Source: the Alexandria database, functional PBE.

The value obtained for the formation energy is -0.187 eV/atom. Its total energy is -11.08 eV/atom.

The structure belongs to space group P4/mmm (No. 123); the cell edges are 3.098, 3.098 and 15.596 Å and the angles 90.00°, 90.00° and 90.00°. The distinct sites, in fractional coordinates, are Ta at (0.000, 0.000, 0.000), Ta at (0.000, 0.000, 0.195), Ta at (0.000, 0.000, 0.391), Mn at (0.500, 0.500, 0.098), Mn at (0.500, 0.500, 0.293) and W at (0.500, 0.500, 0.500).



Crystalline ScSbRh2 at its relaxed geometry. Source: the Alexandria database, functional PBE.

Its total energy is -6.95 eV/atom.

The structure belongs to space group P4/mmm (No. 123); the cell edges are 3.385, 3.385 and 6.080 Å and the angles 90.00°, 90.00° and 90.00°. The distinct sites, in fractional coordinates, are Sc at (0.000, 0.000, 0.000), Sb at (0.000, 0.000, 0.500) and Rh at (0.500, 0.500, 0.251).



Crystalline NaIn2Ga2 at its relaxed geometry. Source: the Alexandria database, functional PBE.

The value obtained for the formation energy is -0.009 eV/atom. Its total energy is -2.58 eV/atom.

The structure belongs to space group P4/mbm (No. 127); the cell edges are 8.441, 8.441 and 3.426 Å and the angles 90.00°, 90.00° and 90.00°. The distinct sites, in fractional coordinates, are Na at (0.000, 0.000, 0.000), In at (0.138, 0.362, 0.000) and Ga at (0.158, 0.658, 0.500).



Crystalline TaTc2Br at its relaxed geometry. Source: the Alexandria database, functional PBE.

Its total energy is -7.92 eV/atom.

The structure belongs to space group Pmmm (No. 47); the cell edges are 3.011, 4.546 and 4.725 Å and the angles 90.00°, 90.00° and 90.00°. The distinct sites, in fractional coordinates, are Ta at (0.000, 0.000, 0.000), Tc at (0.000, 0.500, 0.500), Tc at (0.500, 0.500, 0.000) and Br at (0.500, 0.000, 0.500).



Crystalline RuPb3O7 at its relaxed geometry. Source: the Alexandria database, functional PBE.

Its total energy is -5.99 eV/atom.

The structure belongs to space group Cmmm (No. 65); the cell edges are 7.767, 10.999 and 3.713 Å and the angles 90.00°, 90.00° and 90.00°. The distinct sites, in fractional coordinates, are Ru at (0.000, 0.000, 0.000), Pb at (0.000, 0.500, 0.000), Pb at (0.250, 0.250, 0.500), O at (0.000, 0.000, 0.500), O at (0.000, 0.343, 0.500) and O at (0.192, 0.125, 0.000).



Crystalline ScGeF at its relaxed geometry. Source: the Alexandria database, functional PBE.

Its total energy is -5.93 eV/atom.

The structure belongs to space group Pm (No. 6); the cell edges are 3.109, 4.828 and 3.879 Å and the angles 90.00°, 112.92° and 90.00°. The distinct sites, in fractional coordinates, are Sc at (0.000, 0.000, 0.000), Ge at (0.414, 0.500, 0.833) and F at (0.699, 0.000, 0.404).



Crystalline MgSc2Tc at its relaxed geometry. Source: the Alexandria database, functional PBE.

The value obtained for the formation energy is -0.038 eV/atom. Its total energy is -6.19 eV/atom.

The structure belongs to space group P4/mmm (No. 123); the cell edges are 4.607, 4.607 and 3.618 Å and the angles 90.00°, 90.00° and 90.00°. The distinct sites, in fractional coordinates, are Mg at (0.000, 0.000, 0.000), Sc at (0.000, 0.500, 0.500) and Tc at (0.500, 0.500, 0.000).



Crystalline Y2Mg3Cd4 at its relaxed geometry. Source: the Alexandria database, functional PBE.

The value obtained for the formation energy is -0.199 eV/atom. Its total energy is -2.57 eV/atom.

The structure belongs to space group Cmce (No. 64); the cell edges are 6.170, 17.221 and 8.202 Å and the angles 90.00°, 90.00° and 90.00°. The distinct sites, in fractional coordinates, are Y at (0.000, 0.096, 0.103), Mg at (0.000, 0.000, 0.500), Mg at (0.250, 0.238, 0.750), Cd at (0.000, 0.167, 0.478) and Cd at (0.250, 0.068, 0.750).



Crystalline Na2In12Hg5 at its relaxed geometry. Source: the Alexandria database, functional PBE.

The value obtained for the formation energy is -0.017 eV/atom. Its total energy is -1.96 eV/atom.

The structure belongs to space group C2/m (No. 12); the cell edges are 15.403, 8.276 and 8.167 Å and the angles 90.00°, 93.54° and 90.00°. The distinct sites, in fractional coordinates, are Na at (0.000, 0.221, 0.000), In at (0.056, 0.500, 0.689), In at (0.111, 0.267, 0.368), In at (0.174, 0.000, 0.115), In at (0.185, 0.207, 0.780), Hg at (0.000, 0.000, 0.500), Hg at (0.142, 0.500, 0.061) and Hg at (0.248, 0.000, 0.486).



Crystalline ScNbSi2 at its relaxed geometry. Source: the Alexandria database, functional PBE.

Its total energy is -7.53 eV/atom.

The structure belongs to space group P2/c (No. 13); the cell edges are 5.204, 5.213 and 10.058 Å and the angles 90.00°, 105.15° and 90.00°. The distinct sites, in fractional coordinates, are Sc at (0.200, 0.126, 0.146), Nb at (0.300, 0.371, 0.858), Si at (0.167, 0.375, 0.583) and Si at (0.336, 0.131, 0.423).



Crystalline LaHgAs2 at its relaxed geometry. Source: the Alexandria database, functional PBE.

The value obtained for the formation energy is -0.618 eV/atom. Its total energy is -4.25 eV/atom.

The structure belongs to space group Cm (No. 8); the cell edges are 11.102, 4.415 and 4.343 Å and the angles 90.00°, 105.76° and 90.00°. The distinct sites, in fractional coordinates, are La at (0.000, 0.000, 0.000), Hg at (0.251, 0.000, 0.626), As at (0.198, 0.500, 0.992) and As at (0.480, 0.000, 0.497).



Crystalline MnBeSe2 at its relaxed geometry. Source: the Alexandria database, functional PBE.

Its total energy is -5.41 eV/atom.

The structure belongs to space group P1 (No. 1); the cell edges are 3.583, 6.663 and 7.423 Å and the angles 84.34°, 89.76° and 89.98°. The distinct sites, in fractional coordinates, are Mn at (0.000, 0.000, 0.000), Mn at (0.499, 0.316, 0.079), Be at (0.498, 0.700, 0.153), Be at (0.996, 0.853, 0.386), Se at (0.000, 0.628, 0.989), Se at (0.496, 0.679, 0.446), Se at (0.501, 0.143, 0.808) and Se at (0.997, 0.169, 0.288).



Crystalline Tl3Hg2 at its relaxed geometry. Source: the Alexandria database, functional PBE.

The value obtained for the formation energy is 0.014 eV/atom. Its total energy is -1.53 eV/atom.

The structure belongs to space group P-3m1 (No. 164); the cell edges are 5.1048, 5.1048 and 7.1046 Å and the angles 90.00°, 90.00° and 120.00°. The distinct sites, in fractional coordinates, are Tl at (0.0000, 0.0000, 0.0000), Tl at (0.3333, 0.6667, 0.3489) and Hg at (0.3333, 0.6667, 0.8157).